DFT (meta-GGA SCAN) results for a PBEsol-optimized structure of CuHgRu2.

abc: 8.7346 2.7933 4.8481
angles: 90.00 99.33 90.00
Last column: nearest neighbours and their distance in Å.
Space group Cm (No. 8)
Symmetry-distinct sites (fractional):
Cu: 0.0000 0.0000 0.0000 [2 per cell]  3 Hg 2.57-2.69, 5 Ru 2.61-2.76, 2 Cu 2.79
Hg: 0.2473 0.0000 0.7762 [2 per cell]  3 Cu 2.57-2.69, 5 Ru 2.79-2.84, 2 Hg 2.79
Ru: 0.2479 0.5000 0.2776 [2 per cell]  5 Ru 2.53-2.79, 3 Cu 2.74-2.76, 4 Hg 2.79-2.80
Ru: 0.4908 0.0000 0.4527 [2 per cell]  5 Ru 2.53-2.79, 2 Cu 2.61

## Properties
Calculated volume   14.6 Å³/atom
Energy relative to the elements   0.428 eV per atom